No. 1
This record from Alexandria via LeMat-Bulk describes an optimized crystal structure of NaSiTe2N. The functional is PBEsol.

E_form (uncorrected) = -0.163 eV/atom
SG = P4/mmm
V = 107 Å³/f.u.
energy above the lowest structure with this stoichiometry = 0.000 eV per atom
calculated total energy = -4.7085 eV/atom

abc: 5.725 5.725 3.276
angles: 90.00 90.00 90.00
Element x y z (fractional)
Na1 0.000 0.000 0.000
Si1 0.500 0.500 0.500
Te1 0.000 0.500 0.500
Te2 0.500 0.000 0.500
N1 0.500 0.500 0.000


No. 2
This record from Alexandria via LeMat-Bulk describes an optimized crystal structure of NaTaSn2N. The functional is PBEsol.

E_form (uncorrected) = 0.727 eV/atom
SG = P4/mmm
V = 90 Å³/f.u.
calculated total energy = -5.4721 eV/atom

abc: 4.618 4.618 4.235
angles: 90.00 90.00 90.00
Element x y z (fractional)
Na1 0.000 0.000 0.000
Ta1 0.500 0.500 0.000
Sn1 0.000 0.500 0.500
Sn2 0.500 0.000 0.500
N1 0.000 0.000 0.500